No. 1
The following is a DFT calculation (PBE with a Hubbard U) of a geometry-optimized HoVBi2O8 structure.

a b c (Å): 5.3264 5.3264 6.3590
angles (deg): 90.00 90.00 120.00
Space group P-3m1 (No. 164)
Unique sites:
Ho1 0.0000 0.0000 0.0000 x1
V1 0.0000 0.0000 0.5000 x1
Bi1 0.3333 0.6667 0.3547 x2
O1 0.1593 0.3186 0.6818 x6
O2 0.3333 0.6667 0.0377 x2

The size of the total moment comes out at 0.000 μB/f.u. The calculated volume comes out at 156.24 Å³ per cell. The total DFT energy (no corrections) comes out at -74.58 eV for the cell shown. The density of states at the Fermi level comes out at 8.29 states/eV/f.u.

***

No. 2
The following is a DFT calculation (PBE with a Hubbard U) of a geometry-optimized Ho2BiWO8 structure.

a b c (Å): 5.0277 6.8255 5.0302
angles (deg): 90.00 91.76 90.00
Space group P2/m (No. 10)
Unique sites:
Ho1 0.0000 0.2421 0.0000 x2
Bi1 0.5000 0.5000 0.5000 x1
W1 0.5000 0.0000 0.5000 x1
O1 0.1910 0.5000 0.1896 x2
O2 0.2223 0.0000 0.2208 x2
O3 0.3158 0.2147 0.6829 x4

The size of the total moment comes out at 0.000 μB/f.u. The calculated volume comes out at 172.54 Å³ per cell. The total DFT energy (no corrections) comes out at -89.00 eV for the cell shown. The density of states at the Fermi level comes out at 1.39 states/eV/f.u.

***

No. 3
The following is a DFT calculation (PBE with a Hubbard U) of a geometry-optimized HoBiWO6 structure.

a b c (Å): 5.5920 5.5920 9.6596
angles (deg): 90.00 90.00 120.00
Space group P-31c (No. 163)
Unique sites:
Ho1 0.3333 0.6667 0.2500 x2
Bi1 0.0000 0.0000 0.0000 x2
W1 0.3333 0.6667 0.7500 x2
O1 0.0389 0.3776 0.6374 x12

The size of the total moment comes out at 0.000 μB/f.u. The calculated volume comes out at 261.59 Å³ per cell. The total DFT energy (no corrections) comes out at -131.41 eV for the cell shown. The density of states at the Fermi level comes out at 0.00 states/eV/f.u.